The following is a DFT calculation (PBE-GGA) of a relaxed structure of ZrBiPd2N.

SG: P4/mmm
D(E_F) (states/eV/cell): 3.59
Magnetization (μB/f.u.): 2.06
ΔE_f (raw) (eV per atom): 1.6368

Lattice parameters (Å, degrees): 4.953 4.953 5.788 90.00 90.00 90.00
Positions (direct):
Zr  0.000  0.000  0.000
Bi  0.000  0.000  0.500
Pd  0.000  0.500  0.000
Pd  0.500  0.000  0.000
N  0.500  0.500  0.500